CePuAl2 | PBE | optimized geometry

- space-group type = P4/mmm (123)
- total DFT energy (no corrections) (hartree per atom) = -0.264
- formation energy (eV per atom) = -0.25
- N(E_F) (states/eV/f.u.) = 10.43
- excess energy over the best structure of this formula in the dataset (meV per atom) = 10.2
- V (Å³/f.u.) = 88

a = 4.654 Å, b = 4.361 Å, c = 4.361 Å
α = 90.00°, β = 90.00°, γ = 90.00°
Each line ends with the local moment (μB).
Fractional coordinates of all 4 atoms:
Al: 0.000 0.000 0.500  -0.03
Al: 0.000 0.500 0.000  -0.03
Ce: 0.500 0.000 0.000  0.70
Pu: 0.500 0.500 0.500  5.39